First-principles (PBE) data for a relaxed structure of Ho2Nb3Ge4, as listed in the Alexandria database.

Summary:
ΔH_f (0 K): -755 meV per atom
electronic total energy: -7.181 eV per atom
energy above the lowest structure with this stoichiometry: 0 meV/atom
size of the total moment: 0.00 μB per formula unit

Unit cell a=7.007 b=13.561 c=7.186 alpha=90.00 beta=90.00 gamma=90.00
Space group Pnma (No. 62)
One atom of each set of equivalent atoms:
Ho: 0.004 0.095 0.174 [8 per cell]
Nb: 0.159 0.627 0.329 [8 per cell]
Nb: 0.165 0.250 0.512 [4 per cell]
Ge: 0.040 0.250 0.880 [4 per cell]
Ge: 0.175 0.042 0.538 [8 per cell]
Ge: 0.194 0.750 0.639 [4 per cell]